Record 1
This record from the Alexandria database describes a relaxed structure of NaTaCu2S4. The functional is PBE-GGA.

Uncorrected formation energy = -0.7096 eV/atom
SG = I-42m, No. 121

Structure (extended XYZ):
```
8
Lattice="-2.900 2.900 5.093 2.900 -2.900 5.093 2.900 2.900 -5.093" Properties=species:S:1:pos:R:3 pbc="T T T"
Na 0.000 0.000 0.000
Ta 0.000 0.000 5.093
Cu 2.900 0.000 2.546
Cu 0.000 2.900 2.546
S 1.617 1.617 -1.415
S 1.283 -1.283 6.508
S 1.283 1.283 3.678
S -1.283 1.283 6.508
```

---

Record 2
This record from the Alexandria database describes a relaxed structure of HfMgAu. The functional is PBE-GGA.

DFT formation energy = -0.28 eV/atom
SG = I4mm, No. 107

Structure (extended XYZ):
```
3
Lattice="-1.572 1.572 6.052 1.572 -1.572 6.052 1.572 1.572 -6.052" Properties=species:S:1:pos:R:3 pbc="T T T"
Hf 0.000 0.000 0.000
Mg 0.000 0.000 8.382
Au 0.000 0.000 4.147
```

---

Record 3
This record from the Alexandria database describes a relaxed structure of KZrP2Cl. The functional is PBE-GGA.

Uncorrected formation energy = -0.6736 eV/atom
SG = P4/mmm, No. 123
Energy relative to the lowest polymorph listed for this composition = 0.000 eV/atom

Structure (extended XYZ):
```
5
Lattice="5.035 0.000 0.000 0.000 5.035 0.000 0.000 0.000 5.428" Properties=species:S:1:pos:R:3 pbc="T T T"
K 0.000 0.000 0.000
Zr 2.518 2.518 2.714
P 0.000 2.518 2.714
P 2.518 0.000 2.714
Cl 2.518 2.518 0.000
```

---

Record 4
This record from the Alexandria database describes a relaxed structure of CsCrInBr6. The functional is PBE-GGA.

Uncorrected formation energy = -0.9651 eV/atom
SG = P312, No. 149

Structure (extended XYZ):
```
9
Lattice="7.187 0.000 0.000 -3.594 6.224 0.000 0.000 0.000 7.995" Properties=species:S:1:pos:R:3 pbc="T T T"
Cs 0.000 0.000 0.000
Cr 0.000 4.149 3.997
In 3.594 2.075 3.997
Br -1.092 2.415 5.467
Br -2.048 4.071 2.528
Br 1.092 2.415 2.528
Br -0.956 5.962 5.467
Br 2.048 4.071 5.467
Br 0.956 5.962 2.528
```

---

Record 5
This record from the Alexandria database describes a relaxed structure of MnNb3Mo2. The functional is PBE-GGA.

DFT formation energy = -0.10 eV/atom
SG = Cmmm, No. 65

Structure (extended XYZ):
```
12
Lattice="2.255 -6.761 0.000 2.255 6.761 0.000 0.000 0.000 6.374" Properties=species:S:1:pos:R:3 pbc="T T T"
Mn 2.255 4.497 0.000
Mn 2.255 -4.497 0.000
Nb 0.000 0.000 1.571
Nb 0.000 0.000 4.803
Nb 2.255 2.282 1.553
Nb 2.255 2.282 4.821
Nb 2.255 -2.282 1.553
Nb 2.255 -2.282 4.821
Mo 2.255 4.506 3.187
Mo 2.255 0.000 0.000
Mo 2.255 0.000 3.187
Mo 2.255 -4.506 3.187
```

---

Record 6
This record from the Alexandria database describes a relaxed structure of PPt. The functional is PBE-GGA.

DFT formation energy = -0.29 eV/atom
SG = P6_3/m, No. 176

Structure (extended XYZ):
```
12
Lattice="8.625 0.000 0.000 -4.312 7.469 0.000 0.000 0.000 4.117" Properties=species:S:1:pos:R:3 pbc="T T T"
P -0.984 2.720 1.029
P -1.465 6.961 1.029
P 1.864 2.212 3.088
P 2.449 5.257 1.029
P 5.777 0.508 3.088
P 5.296 4.749 3.088
Pt -2.170 4.756 1.029
Pt 1.279 3.212 1.029
Pt 3.421 0.499 3.088
Pt 0.891 6.971 1.029
Pt 3.034 4.257 3.088
Pt 6.482 2.714 3.088
```

---

Record 7
This record from the Alexandria database describes a relaxed structure of PdSe3. The functional is PBE-GGA.

Uncorrected formation energy = -0.0227 eV/atom
SG = P4/mmm, No. 123

Structure (extended XYZ):
```
4
Lattice="3.818 0.000 0.000 0.000 3.818 0.000 0.000 0.000 5.523" Properties=species:S:1:pos:R:3 pbc="T T T"
Pd 0.000 0.000 0.000
Se 0.000 0.000 2.761
Se 1.909 1.909 0.000
Se 1.909 1.909 2.761
```

---

Record 8
This record from the Alexandria database describes a relaxed structure of CaLa4PmNd2. The functional is PBE-GGA.

DFT formation energy = 0.32 eV/atom
SG = Imma, No. 74

Structure (extended XYZ):
```
16
Lattice="-3.510 6.151 6.829 3.510 -6.151 6.829 3.510 6.151 -6.829" Properties=species:S:1:pos:R:3 pbc="T T T"
Ca -1.755 3.075 3.415
Ca 1.755 3.075 3.415
La 3.510 -0.158 3.389
La 3.510 5.992 -3.389
La 1.958 3.075 -0.008
La 5.062 3.075 -0.008
La -1.552 3.075 6.838
La 1.552 3.075 6.838
La 0.000 0.158 10.219
La 0.000 6.309 3.440
Pm 0.000 0.000 0.000
Pm 0.000 6.151 0.000
Nd 1.755 3.075 -3.415
Nd 1.755 -3.075 3.415
Nd 3.510 0.000 0.000
Nd 0.000 0.000 6.829
```

---

| no. | DFT total energy (eV for the cell shown) |
| --- | --- |
| 1 | -43.550 |
| 2 | -15.658 |
| 3 | -25.680 |
| 4 | -31.939 |
| 5 | -123.263 |
| 6 | -72.211 |
| 7 | -15.737 |
| 8 | -66.865 |